Material: SmMoO5
Method: DFT, GGA+U
State: relaxed

abc: 9.1935 6.5518 7.7327
angles: 90.00 114.59 90.00
Space group C2/c (No. 15)
Symmetry-distinct sites (fractional):
Sm 0.0000 0.0547 0.2500
Mo 0.0000 0.5000 0.0000
O 0.0000 0.4283 0.2500
O 0.0081 0.2107 0.9629
O 0.2251 0.4856 0.6135

Crystal system: monoclinic
Relative energy among the computed polymorphs (eV per formula unit): 1.21
Total magnetic moment (μB per cell): 4.10